Record 1
A plane-wave DFT calculation with PBE was carried out for a geometry-optimized ThTlIr structure.

Cell: 4.9521 4.9521 4.9521 Å, 60.00 60.00 60.00°
Closest atoms and distances in Å follow each position.
Positions (direct):
Th: 0.0000 0.0000 0.0000  4 Ir 3.03, 4 Tl 3.03
Tl: 0.7500 0.7500 0.7500  4 Th 3.03
Ir: 0.2500 0.2500 0.2500  4 Th 3.03

Calculated values
As for the space-group type: F-43m, No. 216.


Record 2
A plane-wave DFT calculation with PBE was carried out for a geometry-optimized TmThIr structure.

Cell: 4.8839 4.8839 4.8839 Å, 60.00 60.00 60.00°
Closest atoms and distances in Å follow each position.
Positions (direct):
Th: 0.7500 0.7500 0.7500  4 Ir 2.99
Tm: 0.2500 0.2500 0.2500  4 Ir 2.99
Ir: 0.0000 0.0000 0.0000  4 Th 2.99, 4 Tm 2.99

Calculated values
Its formation energy is -0.6256 eV/atom. As for the space-group type: F-43m, No. 216. The calculation puts the excess energy over the best structure of this formula in the dataset at 0.0 meV/atom.


Record 3
A plane-wave DFT calculation with PBE was carried out for a geometry-optimized Tm2ThIr9 structure.

Cell: 9.2896 9.2896 9.2896 Å, 33.28 33.28 33.28°
Closest atoms and distances in Å follow each position.
Positions (direct):
Ir: 0.0827 0.5836 0.5836  7 Ir 2.66-2.68
Ir: 0.5836 0.0827 0.5836  7 Ir 2.66-2.68
Ir: 0.3333 0.3333 0.3333  6 Ir 2.67-2.68
Ir: 0.4164 0.9173 0.4164  7 Ir 2.66-2.68
Ir: 0.4164 0.4164 0.9173  7 Ir 2.66-2.68
Ir: 0.9173 0.4164 0.4164  7 Ir 2.66-2.68
Ir: 0.6667 0.6667 0.6667  6 Ir 2.67-2.68
Ir: 0.5836 0.5836 0.0827  7 Ir 2.66-2.68
Ir: 0.5000 0.5000 0.5000  6 Ir 2.68
Tm: 0.8594 0.8594 0.8594  12 Ir 3.06-3.26, 3 Tm 3.36
Tm: 0.1406 0.1406 0.1406  12 Ir 3.06-3.26, 3 Tm 3.36
Th: 0.0000 0.0000 0.0000  6 Ir 3.07

Calculated values
Its formation energy is -0.6562 eV/atom. As for the space-group type: R-3m, No. 166.


Record 4
A plane-wave DFT calculation with PBE was carried out for a geometry-optimized ThIrW structure.

Cell: 4.6573 4.6573 4.6573 Å, 60.00 60.00 60.00°
Closest atoms and distances in Å follow each position.
Positions (direct):
W: 0.2500 0.2500 0.2500  4 Ir 2.85
Th: 0.7500 0.7500 0.7500  4 Ir 2.85
Ir: 0.0000 0.0000 0.0000  4 Th 2.85, 4 W 2.85

Calculated values
Its formation energy is 0.4286 eV/atom. As for the space-group type: F-43m, No. 216. The calculation puts the excess energy over the best structure of this formula in the dataset at 0.0 meV/atom.


Record 5
A plane-wave DFT calculation with PBE was carried out for a geometry-optimized YThIr4 structure.

Cell: 5.4178 5.4178 5.4178 Å, 60.00 60.00 60.00°
Closest atoms and distances in Å follow each position.
Positions (direct):
Ir: 0.6255 0.6255 0.6255  6 Ir 2.70-2.72
Ir: 0.6255 0.6255 0.1235  6 Ir 2.70-2.72
Ir: 0.1235 0.6255 0.6255  6 Ir 2.70-2.72
Ir: 0.6255 0.1235 0.6255  6 Ir 2.70-2.72
Y: 0.0000 0.0000 0.0000  12 Ir 3.18, 4 Th 3.32
Th: 0.2500 0.2500 0.2500  12 Ir 3.18, 4 Y 3.32

Calculated values
Its formation energy is -0.8116 eV/atom. As for the space-group type: F-43m, No. 216.


Record 6
A plane-wave DFT calculation with PBE was carried out for a geometry-optimized TlIr9 structure.

Cell: 2.7652 2.7652 51.4273 Å, 90.00 90.00 90.00°
Closest atoms and distances in Å follow each position.
Positions (direct):
Ir: 0.5000 0.0000 0.2571  12 Ir 2.75-2.77
Ir: 0.5000 0.0000 0.4813  12 Ir 2.74-2.77
Ir: 0.0000 0.5000 0.6680  12 Ir 2.74-2.77
Ir: 0.0000 0.5000 0.5934  12 Ir 2.74-2.77
Ir: 0.5000 0.0000 0.5560  12 Ir 2.74-2.77
Ir: 0.5000 0.0000 0.6307  12 Ir 2.74-2.77
Ir: 0.5000 0.0000 0.4066  12 Ir 2.74-2.77
Ir: 0.0000 0.5000 0.7429  12 Ir 2.75-2.77
Ir: 0.5000 0.0000 0.3320  12 Ir 2.74-2.77
Ir: 0.0000 0.5000 0.5187  12 Ir 2.74-2.77
Ir: 0.0000 0.5000 0.3693  12 Ir 2.74-2.77
Ir: 0.0000 0.5000 0.2946  12 Ir 2.74-2.77
Ir: 0.5000 0.0000 0.7805  12 Ir 2.69-2.77
Ir: 0.5000 0.0000 0.1835  8 Ir 2.69-2.77
Ir: 0.5000 0.0000 0.7054  12 Ir 2.74-2.77
Ir: 0.0000 0.5000 0.8165  8 Ir 2.69-2.77
Ir: 0.0000 0.5000 0.4440  12 Ir 2.74-2.77
Ir: 0.0000 0.5000 0.2195  12 Ir 2.69-2.77
Tl: 0.5000 0.0000 0.8648  4 Tl 2.77
Tl: 0.0000 0.5000 0.1352  4 Tl 2.77

Calculated values
As for the space-group type: P4/nmm, No. 129. The calculation puts the excess energy over the best structure of this formula in the dataset at 4.3 meV/atom.


Record 7
A plane-wave DFT calculation with PBE was carried out for a geometry-optimized TlIr9 structure.

Cell: 2.7554 3.8663 41.0153 Å, 90.00 90.00 90.00°
Closest atoms and distances in Å follow each position.
Positions (direct):
Ir: 0.5000 0.5000 0.6832  12 Ir 2.72-2.76
Ir: 0.5000 0.5000 0.2834  12 Ir 2.67-2.76
Ir: 0.0000 0.0000 0.7818  7 Ir 2.67-2.76
Ir: 0.0000 0.0000 0.5835  12 Ir 2.74-2.76
Ir: 0.5000 0.5000 0.4833  12 Ir 2.74-2.76
Ir: 0.0000 0.0000 0.6503  12 Ir 2.72-2.76
Ir: 0.5000 0.5000 0.4165  12 Ir 2.74-2.76
Ir: 0.0000 0.0000 0.4498  12 Ir 2.74-2.76
Ir: 0.5000 0.5000 0.3497  12 Ir 2.72-2.76
Ir: 0.5000 0.5000 0.2182  7 Ir 2.67-2.76
Ir: 0.0000 0.0000 0.3168  12 Ir 2.72-2.76
Ir: 0.0000 0.0000 0.2496  11 Ir 2.70-2.76
Ir: 0.5000 0.5000 0.6169  12 Ir 2.72-2.76
Ir: 0.5000 0.5000 0.7504  11 Ir 2.70-2.76
Ir: 0.0000 0.0000 0.3831  12 Ir 2.72-2.76
Ir: 0.0000 0.0000 0.7166  12 Ir 2.67-2.76
Ir: 0.5000 0.5000 0.5502  12 Ir 2.74-2.76
Ir: 0.0000 0.0000 0.5167  12 Ir 2.74-2.76
Tl: 0.0000 0.0000 0.1699  2 Tl 2.76
Tl: 0.5000 0.5000 0.8301  2 Tl 2.76

Calculated values
As for the space-group type: Pmmn, No. 59. The calculation puts the excess energy over the best structure of this formula in the dataset at 0.0 meV/atom.


Record 8
A plane-wave DFT calculation with PBE was carried out for a geometry-optimized TlIr10 structure.

Cell: 4.7233 4.7233 32.7844 Å, 90.02 90.02 48.28°
Closest atoms and distances in Å follow each position.
Positions (direct):
Ir: 0.7497 0.7497 0.9338  12 Ir 2.73-2.74
Ir: 0.4498 0.4498 0.9602  12 Ir 2.73-2.75
Ir: 0.9497 0.9497 0.0925  12 Ir 2.73-2.74
Ir: 0.0490 0.0490 0.1717  12 Ir 2.69-2.75
Ir: 0.2503 0.2503 0.0662  12 Ir 2.73-2.74
Ir: 0.3475 0.3475 0.1454  12 Ir 2.71-2.75
Ir: 0.5484 0.5484 0.7765  9 Ir 2.69-2.73
Ir: 0.8498 0.8498 0.7506  6 Ir 2.67-2.73, 3 Tl 2.92-2.96
Ir: 0.6485 0.6485 0.1191  12 Ir 2.72-2.77
Ir: 0.9510 0.9510 0.8283  12 Ir 2.69-2.75
Ir: 0.8501 0.8501 0.0131  12 Ir 2.72-2.74
Ir: 0.1499 0.1499 0.9869  12 Ir 2.72-2.74
Ir: 0.6525 0.6525 0.8546  12 Ir 2.71-2.75
Ir: 0.3515 0.3515 0.8809  12 Ir 2.72-2.77
Ir: 0.5502 0.5502 0.0398  12 Ir 2.73-2.75
Ir: 0.0503 0.0503 0.9075  12 Ir 2.73-2.74
Ir: 0.7494 0.7494 0.1995  11 Ir 2.67-2.77
Ir: 0.1502 0.1502 0.2494  6 Ir 2.67-2.73, 3 Tl 2.92-2.96
Ir: 0.2506 0.2506 0.8005  11 Ir 2.67-2.77
Ir: 0.4516 0.4516 0.2235  9 Ir 2.69-2.73
Tl: 0.1470 0.1470 0.7078  6 Ir 2.92-3.17
Tl: 0.8530 0.8530 0.2922  6 Ir 2.92-3.17

Calculated values
As for the space-group type: C2/m, No. 12.


Record 9
A plane-wave DFT calculation with PBE was carried out for a geometry-optimized Tl2Ir7 structure.

Cell: 2.8222 2.8222 32.7765 Å, 90.00 90.00 120.00°
Closest atoms and distances in Å follow each position.
Positions (direct):
Ir: 0.3333 0.6667 0.6342  12 Ir 2.70-2.82
Ir: 0.6667 0.3333 0.3658  12 Ir 2.70-2.82
Ir: 0.6667 0.3333 0.5672  12 Ir 2.73-2.82
Ir: 0.0000 0.0000 0.3000  9 Ir 2.70-2.82
Ir: 0.3333 0.6667 0.4328  12 Ir 2.73-2.82
Ir: 0.0000 0.0000 0.7000  9 Ir 2.70-2.82
Ir: 0.0000 0.0000 0.5000  12 Ir 2.74-2.82
Tl: 0.3333 0.6667 0.2191  6 Tl 2.82, 3 Ir 3.11
Tl: 0.6667 0.3333 0.7808  6 Tl 2.82, 3 Ir 3.11

Calculated values
As for the space-group type: P-3m1, No. 164.


no.,final energy (eV/cell)
1,-17.85
2,-22.62
3,-103.93
4,-27.94
5,-54.17
6,-161.81
7,-161.90
8,-178.77
9,-63.63